NiIrAuO2 | GGA+U | relaxed

Computed properties:
Final energy, eV per formula unit: -23.16

a = 3.713 Å, b = 5.407 Å, c = 3.713 Å
α = 90.00°, β = 90.00°, γ = 90.00°
Sites, in units of the cell vectors:
1 Ni 0.000 0.500 0.000
2 O 0.500 0.000 0.000
3 O 0.000 0.000 0.500
4 Ir 0.000 0.000 0.000
5 Au 0.500 0.500 0.500